No. 1
Below is crystalline Ca2Al3Ga at its relaxed geometry, with properties calculated at the PBE level.

Excess energy over the best structure of this formula in the dataset (meV/atom): 0
SG: No. 166
E_form (kJ/mol of atoms): -36

Cell: 5.6238 5.6238 5.6693 Å, 90.04 119.75 119.94°
Atoms (fractional coordinates):
Al: 0.5000 0.5000 0.5000
Al: 0.5000 0.0000 0.5000
Al: 0.0000 0.0000 0.5000
Ca: 0.7506 0.3750 0.1256
Ca: 0.2494 0.6250 0.8744
Ga: 0.0000 0.0000 0.0000



No. 2
Below is crystalline Mn4CoCl at its relaxed geometry, with properties calculated at the PBE level.

SG: No. 216
Formation energy (no corrections) (eV per atom): 0.884

Cell: 4.7990 4.7990 4.7990 Å, 60.00 60.00 60.00°
Site moments in Bohr magnetons follow the coordinates.
Atoms (fractional coordinates):
Cl: 0.7500 0.7500 0.7500  0.05
Co: 0.0000 0.0000 0.0000  1.65
Mn: 0.3748 0.8757 0.3748  1.66
Mn: 0.8757 0.3748 0.3748  1.66
Mn: 0.3748 0.3748 0.8757  1.66
Mn: 0.3748 0.3748 0.3748  1.66



No. 3
Below is crystalline SrP2Ru at its relaxed geometry, with properties calculated at the PBE level.

Excess energy over the best structure of this formula in the dataset (meV/atom): 907
SG: No. 65
E_form (kJ/mol of atoms): 21

Cell: 4.6484 4.6484 3.4808 Å, 90.00 90.00 103.01°
Atoms (fractional coordinates):
Ru: 0.5000 0.0000 0.5000
P: 0.5000 0.5000 0.0000
P: 0.0000 0.0000 0.0000
Sr: 0.0000 0.5000 0.5000



No. 4
Below is crystalline ZrAg2Os at its relaxed geometry, with properties calculated at the PBE level.

Excess energy over the best structure of this formula in the dataset (meV/atom): 220
SG: No. 12
E_form (kJ/mol of atoms): 28

Cell: 5.8108 5.8108 3.0404 Å, 76.10 76.10 124.37°
Site moments in Bohr magnetons follow the coordinates.
Atoms (fractional coordinates):
Os: 0.5000 0.0000 0.5000  0.33
Zr: 0.0000 0.5000 0.5000  -0.02
Ag: 0.5000 0.5000 0.0000  0.00
Ag: 0.0000 0.0000 0.0000  0.00



No. 5
Below is crystalline UAu6 at its relaxed geometry, with properties calculated at the PBE level.

Excess energy over the best structure of this formula in the dataset (meV/atom): 0
SG: No. 62
E_form (kJ/mol of atoms): -6

Cell: 5.6663 9.0682 11.0822 Å, 90.00 90.00 90.00°
Site moments in Bohr magnetons follow the coordinates.
Atoms (fractional coordinates):
Au: 0.2500 0.6579 0.3407  0.00
Au: 0.7500 0.9340 0.0768  -0.01
Au: 0.5080 0.5542 0.8055  0.01
Au: 0.4920 0.9458 0.3055  0.01
Au: 0.2500 0.8853 0.5220  0.00
Au: 0.7500 0.3421 0.6593  0.00
Au: 0.9920 0.0542 0.6945  0.01
Au: 0.5080 0.0542 0.6945  0.01
Au: 0.0080 0.9458 0.3055  0.01
Au: 0.7500 0.6896 0.2799  0.00
Au: 0.2500 0.5660 0.5768  -0.01
Au: 0.7500 0.1147 0.4780  0.00
Au: 0.4920 0.4458 0.1945  0.01
Au: 0.0080 0.4458 0.1945  0.01
Au: 0.2500 0.3853 0.9780  0.00
Au: 0.2500 0.1579 0.1593  0.00
Au: 0.7500 0.6147 0.0220  0.00
Au: 0.2500 0.3104 0.7201  0.00
Au: 0.2500 0.8104 0.7799  0.00
Au: 0.7500 0.4340 0.4232  -0.01
Au: 0.7500 0.8421 0.8407  0.00
Au: 0.9920 0.5542 0.8055  0.01
Au: 0.2500 0.0660 0.9232  -0.01
Au: 0.7500 0.1896 0.2201  0.00
U: 0.7500 0.2381 0.9319  2.62
U: 0.2500 0.7619 0.0681  2.62
U: 0.2500 0.2619 0.4319  2.62
U: 0.7500 0.7381 0.5681  2.62



No. 6
Below is crystalline SrLaAg2 at its relaxed geometry, with properties calculated at the PBE level.

SG: No. 122
E_form (kJ/mol of atoms): 6

Cell: 8.3403 8.3403 7.0155 Å, 53.53 53.53 90.00°
Atoms (fractional coordinates):
La: 0.0000 0.0000 0.0000
La: 0.7500 0.2500 0.5000
Ag: 0.8750 0.8826 0.7500
Ag: 0.1174 0.6250 0.2500
Ag: 0.3750 0.3674 0.7500
Ag: 0.6326 0.1250 0.2500
Sr: 0.5000 0.5000 0.0000
Sr: 0.2500 0.7500 0.5000



What are the electronic total energy values for these records? In order: -20.47 -40.33 -20.91 -24.31 -125.67 -24.11 eV per cell.
What are the D(E_F) values for these records? In order: 0.4169 1.8086 0.9548 0.7693 1.2920 0.8563 states/eV/atom.